Density functional theory data (PBE) for an optimized crystal structure of KCr2S.

Lattice parameters (Å, degrees): 5.8247 5.8247 14.7417 90.00 90.00 90.00
Fractional coordinates of all 16 atoms:
K 0.0000 0.2500 0.3750
K 0.0000 0.7500 0.6250
K 0.5000 0.2500 0.1250
K 0.5000 0.7500 0.8750
Cr 0.0000 0.0000 0.0000
Cr 0.0000 0.5000 0.0000
Cr 0.2500 0.2500 0.7500
Cr 0.2500 0.7500 0.2500
Cr 0.5000 0.0000 0.5000
Cr 0.5000 0.5000 0.5000
Cr 0.7500 0.2500 0.7500
Cr 0.7500 0.7500 0.2500
S 0.0000 0.2500 0.8750
S 0.0000 0.7500 0.1250
S 0.5000 0.2500 0.6250
S 0.5000 0.7500 0.3750

Formation energy without anion corrections, meV/atom: 351.0